The following is a PBE calculation of a geometry-optimized AsRh2Au structure, from Alexandria.

Summary:
- Total magnetization: 0.0000 μB per atom
- Final energy: -5.258 eV per atom
- Density: 8.8 Mg/m³

Cell lengths 6.9382, 6.9382, 6.9382 Å; angles 131.95, 131.95, 70.31 degrees
Atoms (fractional coordinates):
As 0.0000 0.0000 0.0000
As 0.7500 0.2500 0.5000
Rh 0.0811 0.6250 0.9561
Rh 0.3750 0.3311 0.4561
Rh 0.6689 0.1250 0.0439
Rh 0.8750 0.9189 0.5439
Au 0.2500 0.7500 0.5000
Au 0.5000 0.5000 0.0000